[1]
Sm2MnSi4Ni3 | Alexandria | PBE-GGA | relaxed; formation energy (no corrections) = -0.75 eV/atom; final energy = -6.516 eV per atom
1.0
3.993 0.000 0.000
0.000 3.993 0.000
0.000 0.000 9.801
Sm Mn Si Ni
2 1 4 3
Cartesian
0.000 1.996 2.384 Sm
1.996 0.000 7.418 Sm
0.000 0.000 4.901 Mn
0.000 0.000 0.000 Si
0.000 1.996 6.235 Si
1.996 0.000 3.566 Si
1.996 1.996 0.000 Si
0.000 1.996 8.610 Ni
1.996 0.000 1.192 Ni
1.996 1.996 4.901 Ni

---

[2]
HfCoCu2Os | Alexandria | PBE-GGA | relaxed; ΔE_f = 1938 meV/atom; final energy = -5.359 eV per atom
1.0
4.600 0.000 0.000
0.000 4.600 0.000
0.000 0.000 4.271
Hf Co Cu Os
1 1 2 1
Cartesian
0.000 0.000 0.000 Hf
0.000 0.000 2.136 Co
0.000 2.300 0.000 Cu
2.300 0.000 0.000 Cu
2.300 2.300 2.136 Os

---

[3]
HgW2N | Alexandria | PBE-GGA | relaxed; formation energy (no corrections) = 0.91 eV/atom; ΔE to the lowest computed polymorph = 0.00 eV/f.u.; final energy = -7.724 eV per atom
1.0
5.063 0.000 0.000
0.000 5.063 0.000
0.000 0.000 11.617
Hg W N
4 8 4
Cartesian
0.000 0.000 0.000 Hg
0.000 2.531 2.904 Hg
2.531 0.000 8.713 Hg
2.531 2.531 5.809 Hg
0.512 1.266 7.261 W
1.266 3.044 10.165 W
1.266 4.551 4.357 W
2.019 1.266 1.452 W
3.044 3.797 1.452 W
3.797 0.512 4.357 W
3.797 2.019 10.165 W
4.551 3.797 7.261 W
0.000 0.000 5.809 N
0.000 2.531 8.713 N
2.531 0.000 2.904 N
2.531 2.531 0.000 N

---

[4]
Pm7Tl3C2 | Alexandria | PBE-GGA | relaxed; ΔE_f = -322 meV/atom; ΔE to the lowest computed polymorph = 0.00 eV/f.u.; final energy = -5.222 eV per atom
1.0
2.556 -12.385 0.000
2.556 12.385 0.000
0.000 0.000 5.074
Pm Tl C
7 3 2
Cartesian
0.000 0.000 0.000 Pm
2.556 9.933 2.537 Pm
2.556 7.394 0.000 Pm
2.556 2.511 0.000 Pm
2.556 -2.511 0.000 Pm
2.556 -7.394 0.000 Pm
2.556 -9.933 2.537 Pm
2.556 4.900 2.537 Tl
2.556 0.000 2.537 Tl
2.556 -4.900 2.537 Tl
2.556 9.782 0.000 C
2.556 -9.782 0.000 C